[1]
The following is a DFT calculation (PBE-GGA) of an optimized crystal structure of Dy2SnPd5.

Formation energy ... -0.783 eV/atom
VASP energy ... -5.679 eV/atom

Cell lengths 5.9006, 5.9006, 5.9006 Å; angles 116.07, 116.07, 96.95 degrees
Fractional coordinates of all 8 atoms:
Dy (0.0000, 0.5000, 0.5000)
Dy (0.5000, 0.0000, 0.5000)
Sn (0.3917, 0.3917, 0.0000)
Pd (0.0121, 0.0121, 0.0000)
Pd (0.5158, 0.5158, 0.5523)
Pd (0.5158, 0.9635, 0.0000)
Pd (0.9635, 0.5158, 0.0000)
Pd (0.9635, 0.9635, 0.4477)

***

[2]
The following is a DFT calculation (PBE-GGA) of an optimized crystal structure of Sc2Be2InNi5.

Formation energy ... -0.444 eV/atom
VASP energy ... -5.620 eV/atom

Cell lengths 8.8813, 8.8813, 3.3213 Å; angles 90.00, 90.00, 90.00 degrees
Fractional coordinates of all 20 atoms:
Sc (0.1798, 0.3202, 0.0000)
Sc (0.3202, 0.8202, 0.0000)
Sc (0.6798, 0.1798, 0.0000)
Sc (0.8202, 0.6798, 0.0000)
Be (0.1127, 0.6127, 0.0000)
Be (0.3873, 0.1127, 0.0000)
Be (0.6127, 0.8873, 0.0000)
Be (0.8873, 0.3873, 0.0000)
In (0.0000, 0.0000, 0.0000)
In (0.5000, 0.5000, 0.0000)
Ni (0.0000, 0.5000, 0.5000)
Ni (0.0685, 0.7738, 0.5000)
Ni (0.2262, 0.0685, 0.5000)
Ni (0.2738, 0.5685, 0.5000)
Ni (0.4315, 0.2738, 0.5000)
Ni (0.5000, 0.0000, 0.5000)
Ni (0.5685, 0.7262, 0.5000)
Ni (0.7262, 0.4315, 0.5000)
Ni (0.7738, 0.9315, 0.5000)
Ni (0.9315, 0.2262, 0.5000)

***

[3]
The following is a DFT calculation (PBE-GGA) of an optimized crystal structure of ReSBr3.

VASP energy ... -4.645 eV/atom
Formation energy without anion corrections ... -1.6 eV/f.u.
Energy relative to the lowest polymorph listed for this composition ... 0.000 eV/atom

Cell lengths 8.2125, 8.2125, 7.5192 Å; angles 116.97, 116.97, 93.66 degrees
Fractional coordinates of all 10 atoms:
Re (0.1466, 0.1466, 0.2104)
Re (0.8534, 0.8534, 0.7896)
S (0.0602, 0.0602, 0.8242)
S (0.9398, 0.9398, 0.1758)
Br (0.0608, 0.4312, 0.2460)
Br (0.3228, 0.3228, 0.6547)
Br (0.4312, 0.0608, 0.2460)
Br (0.5688, 0.9392, 0.7540)
Br (0.6772, 0.6772, 0.3453)
Br (0.9392, 0.5688, 0.7540)

***

[4]
The following is a DFT calculation (PBE-GGA) of an optimized crystal structure of Tb5Cd3Bi12.

Formation energy ... 0.013 eV/atom
VASP energy ... -3.611 eV/atom

Cell lengths 15.8619, 15.8619, 15.8619 Å; angles 109.47, 109.47, 109.47 degrees
Fractional coordinates of all 80 atoms:
Tb (0.0000, 0.0000, 0.0000)
Tb (0.0000, 0.0000, 0.5000)
Tb (0.0000, 0.5000, 0.0000)
Tb (0.0000, 0.5000, 0.5000)
Tb (0.1250, 0.7500, 0.8750)
Tb (0.1250, 0.8750, 0.2500)
Tb (0.2500, 0.1250, 0.8750)
Tb (0.2500, 0.6250, 0.3750)
Tb (0.3750, 0.2500, 0.6250)
Tb (0.3750, 0.6250, 0.7500)
Tb (0.5000, 0.0000, 0.0000)
Tb (0.5000, 0.0000, 0.5000)
Tb (0.5000, 0.5000, 0.0000)
Tb (0.5000, 0.5000, 0.5000)
Tb (0.6250, 0.3750, 0.2500)
Tb (0.6250, 0.7500, 0.3750)
Tb (0.7500, 0.3750, 0.6250)
Tb (0.7500, 0.8750, 0.1250)
Tb (0.8750, 0.1250, 0.7500)
Tb (0.8750, 0.2500, 0.1250)
Cd (0.1250, 0.2500, 0.3750)
Cd (0.1250, 0.3750, 0.7500)
Cd (0.2500, 0.3750, 0.1250)
Cd (0.2500, 0.8750, 0.6250)
Cd (0.3750, 0.1250, 0.2500)
Cd (0.3750, 0.7500, 0.1250)
Cd (0.6250, 0.2500, 0.8750)
Cd (0.6250, 0.8750, 0.7500)
Cd (0.7500, 0.1250, 0.3750)
Cd (0.7500, 0.6250, 0.8750)
Cd (0.8750, 0.6250, 0.2500)
Cd (0.8750, 0.7500, 0.6250)
Bi (0.0481, 0.6082, 0.3720)
Bi (0.0481, 0.9399, 0.6761)
Bi (0.0601, 0.2362, 0.1082)
Bi (0.0601, 0.3239, 0.9519)
Bi (0.1082, 0.0601, 0.2362)
Bi (0.1082, 0.5481, 0.8720)
Bi (0.1280, 0.7362, 0.6761)
Bi (0.1280, 0.8918, 0.4519)
Bi (0.1761, 0.2362, 0.6280)
Bi (0.1761, 0.4399, 0.5481)
Bi (0.2362, 0.1082, 0.0601)
Bi (0.2362, 0.6280, 0.1761)
Bi (0.2638, 0.3239, 0.8720)
Bi (0.2638, 0.4399, 0.3918)
Bi (0.3239, 0.8720, 0.2638)
Bi (0.3239, 0.9519, 0.0601)
Bi (0.3720, 0.0481, 0.6082)
Bi (0.3720, 0.8239, 0.7638)
Bi (0.3918, 0.2638, 0.4399)
Bi (0.3918, 0.6280, 0.9519)
Bi (0.4399, 0.3918, 0.2638)
Bi (0.4399, 0.5481, 0.1761)
Bi (0.4519, 0.1280, 0.8918)
Bi (0.4519, 0.8239, 0.5601)
Bi (0.5481, 0.1761, 0.4399)
Bi (0.5481, 0.8720, 0.1082)
Bi (0.5601, 0.4519, 0.8239)
Bi (0.5601, 0.6082, 0.7362)
Bi (0.6082, 0.3720, 0.0481)
Bi (0.6082, 0.7362, 0.5601)
Bi (0.6280, 0.1761, 0.2362)
Bi (0.6280, 0.9519, 0.3918)
Bi (0.6761, 0.0481, 0.9399)
Bi (0.6761, 0.1280, 0.7362)
Bi (0.7362, 0.5601, 0.6082)
Bi (0.7362, 0.6761, 0.1280)
Bi (0.7638, 0.3720, 0.8239)
Bi (0.7638, 0.8918, 0.9399)
Bi (0.8239, 0.5601, 0.4519)
Bi (0.8239, 0.7638, 0.3720)
Bi (0.8720, 0.1082, 0.5481)
Bi (0.8720, 0.2638, 0.3239)
Bi (0.8918, 0.4519, 0.1280)
Bi (0.8918, 0.9399, 0.7638)
Bi (0.9399, 0.6761, 0.0481)
Bi (0.9399, 0.7638, 0.8918)
Bi (0.9519, 0.0601, 0.3239)
Bi (0.9519, 0.3918, 0.6280)

***

[5]
The following is a DFT calculation (PBE-GGA) of an optimized crystal structure of SrY2ErSe4.

VASP energy ... -5.926 eV/atom
Formation energy without anion corrections ... -14.3 eV/f.u.

Cell lengths 7.1937, 4.1265, 7.1993 Å; angles 90.00, 109.07, 90.00 degrees
Fractional coordinates of all 8 atoms:
Sr (0.0000, 0.0000, 0.0000)
Y (0.0000, 0.5000, 0.5000)
Y (0.5000, 0.0000, 0.5000)
Er (0.5000, 0.5000, 0.0000)
Se (0.2585, 0.0000, 0.7486)
Se (0.2628, 0.5000, 0.2591)
Se (0.7372, 0.5000, 0.7409)
Se (0.7415, 0.0000, 0.2514)

***

[6]
The following is a DFT calculation (PBE-GGA) of an optimized crystal structure of KCaLaO3.

VASP energy ... -6.368 eV/atom
Formation energy without anion corrections ... -15.3 eV/f.u.

Cell lengths 7.4941, 3.6494, 10.0813 Å; angles 90.00, 90.54, 90.00 degrees
Fractional coordinates of all 12 atoms:
K (0.1314, 0.2500, 0.2835)
K (0.8686, 0.7500, 0.7165)
Ca (0.1578, 0.2500, 0.9421)
Ca (0.8422, 0.7500, 0.0579)
La (0.3943, 0.7500, 0.6352)
La (0.6057, 0.2500, 0.3648)
O (0.1459, 0.7500, 0.0675)
O (0.2321, 0.2500, 0.7199)
O (0.3873, 0.7500, 0.4091)
O (0.6127, 0.2500, 0.5909)
O (0.7679, 0.7500, 0.2801)
O (0.8541, 0.2500, 0.9325)

***

[7]
The following is a DFT calculation (PBE-GGA) of an optimized crystal structure of HfTa2Be2.

Formation energy ... 0.024 eV/atom
VASP energy ... -8.199 eV/atom
Energy relative to the lowest polymorph listed for this composition ... 0.089 eV/atom

Cell lengths 6.0548, 6.0548, 6.0548 Å; angles 143.41, 143.41, 52.71 degrees
Fractional coordinates of all 5 atoms:
Hf (0.0000, 0.0000, 0.0000)
Ta (0.2500, 0.7500, 0.5000)
Ta (0.7500, 0.2500, 0.5000)
Be (0.4070, 0.4070, 0.0000)
Be (0.5930, 0.5930, 0.0000)

***

[8]
The following is a DFT calculation (PBE-GGA) of an optimized crystal structure of SrLiTe2Au.

VASP energy ... -3.553 eV/atom
Formation energy without anion corrections ... -4.6 eV/f.u.

Cell lengths 8.3802, 8.3802, 5.9360 Å; angles 90.00, 90.00, 136.16 degrees
Fractional coordinates of all 10 atoms:
Sr (0.2500, 0.7500, 0.7708)
Sr (0.7500, 0.2500, 0.2292)
Li (0.2500, 0.2500, 0.5000)
Li (0.7500, 0.7500, 0.5000)
Te (0.1346, 0.8654, 0.2661)
Te (0.3654, 0.6346, 0.2661)
Te (0.6346, 0.3654, 0.7339)
Te (0.8654, 0.1346, 0.7339)
Au (0.0000, 0.0000, 0.0000)
Au (0.5000, 0.5000, 0.0000)

***

[9]
The following is a DFT calculation (PBE-GGA) of an optimized crystal structure of Bi2OsCl.

VASP energy ... -4.733 eV/atom
Formation energy without anion corrections ... 1.9 eV/f.u.
Energy relative to the lowest polymorph listed for this composition ... 0.000 eV/atom

Cell lengths 8.0291, 8.0291, 8.0291 Å; angles 131.99, 131.99, 70.25 degrees
Fractional coordinates of all 8 atoms:
Bi (0.0551, 0.6250, 0.9301)
Bi (0.3750, 0.3051, 0.4301)
Bi (0.6949, 0.1250, 0.0699)
Bi (0.8750, 0.9449, 0.5699)
Os (0.0000, 0.0000, 0.0000)
Os (0.7500, 0.2500, 0.5000)
Cl (0.2500, 0.7500, 0.5000)
Cl (0.5000, 0.5000, 0.0000)

***

[10]
The following is a DFT calculation (PBE-GGA) of an optimized crystal structure of Cs2KCd2.

Formation energy ... -0.026 eV/atom
VASP energy ... -0.953 eV/atom
Energy relative to the lowest polymorph listed for this composition ... 0.000 eV/atom

Cell lengths 7.8871, 7.8871, 7.8871 Å; angles 138.44, 117.61, 77.78 degrees
Fractional coordinates of all 5 atoms:
Cs (0.2054, 0.2054, 0.0000)
Cs (0.7946, 0.7946, 0.0000)
K (0.5000, 0.0000, 0.5000)
Cd (0.1860, 0.5000, 0.6860)
Cd (0.8140, 0.5000, 0.3140)

***

[11]
The following is a DFT calculation (PBE-GGA) of an optimized crystal structure of Ti5Ga3Tc.

Formation energy ... 0.104 eV/atom
VASP energy ... -6.443 eV/atom

Cell lengths 5.8020, 5.8020, 9.9615 Å; angles 92.23, 92.23, 79.94 degrees
Fractional coordinates of all 18 atoms:
Ti (0.0268, 0.0268, 0.2931)
Ti (0.1169, 0.4960, 0.3302)
Ti (0.1685, 0.8315, 0.0000)
Ti (0.2350, 0.2350, 0.8361)
Ti (0.4960, 0.1169, 0.3302)
Ti (0.5040, 0.8831, 0.6698)
Ti (0.7650, 0.7650, 0.1639)
Ti (0.8315, 0.1685, 0.0000)
Ti (0.8831, 0.5040, 0.6698)
Ti (0.9732, 0.9732, 0.7069)
Ga (0.2043, 0.2043, 0.5437)
Ga (0.2458, 0.2458, 0.1074)
Ga (0.5000, 0.5000, 0.0000)
Ga (0.5000, 0.5000, 0.5000)
Ga (0.7542, 0.7542, 0.8926)
Ga (0.7957, 0.7957, 0.4563)
Tc (0.4807, 0.4807, 0.7477)
Tc (0.5193, 0.5193, 0.2523)

***

[12]
The following is a DFT calculation (PBE-GGA) of an optimized crystal structure of Nd4Nb6O19.

VASP energy ... -8.767 eV/atom
Formation energy without anion corrections ... -80.6 eV/f.u.

Cell lengths 7.8559, 7.8559, 7.8559 Å; angles 109.47, 109.47, 109.47 degrees
Fractional coordinates of all 29 atoms:
Nd (0.0000, 0.0000, 0.3103)
Nd (0.0000, 0.3103, 0.0000)
Nd (0.3103, 0.0000, 0.0000)
Nd (0.6897, 0.6897, 0.6897)
Nb (0.1548, 0.5000, 0.6548)
Nb (0.3452, 0.8452, 0.5000)
Nb (0.5000, 0.3452, 0.8452)
Nb (0.5000, 0.6548, 0.1548)
Nb (0.6548, 0.1548, 0.5000)
Nb (0.8452, 0.5000, 0.3452)
O (0.0000, 0.0000, 0.0000)
O (0.0000, 0.3317, 0.3317)
O (0.0000, 0.6683, 0.6683)
O (0.0267, 0.6667, 0.2682)
O (0.2415, 0.6400, 0.9733)
O (0.2682, 0.0267, 0.6667)
O (0.3317, 0.0000, 0.3317)
O (0.3317, 0.3317, 0.0000)
O (0.3333, 0.3600, 0.6015)
O (0.3600, 0.6015, 0.3333)
O (0.3985, 0.7585, 0.7318)
O (0.6015, 0.3333, 0.3600)
O (0.6400, 0.9733, 0.2415)
O (0.6667, 0.2682, 0.0267)
O (0.6683, 0.0000, 0.6683)
O (0.6683, 0.6683, 0.0000)
O (0.7318, 0.3985, 0.7585)
O (0.7585, 0.7318, 0.3985)
O (0.9733, 0.2415, 0.6400)

***

[13]
The following is a DFT calculation (PBE-GGA) of an optimized crystal structure of Hf7Cu2N2.

VASP energy ... -9.057 eV/atom
Formation energy without anion corrections ... -5.1 eV/f.u.

Cell lengths 6.0977, 6.0977, 5.6185 Å; angles 93.31, 93.31, 66.08 degrees
Fractional coordinates of all 11 atoms:
Hf (0.0000, 0.0000, 0.0000)
Hf (0.0696, 0.5179, 0.7611)
Hf (0.4355, 0.4355, 0.2234)
Hf (0.4821, 0.9304, 0.2389)
Hf (0.5179, 0.0696, 0.7611)
Hf (0.5645, 0.5645, 0.7766)
Hf (0.9304, 0.4821, 0.2389)
Cu (0.1731, 0.8269, 0.5000)
Cu (0.8269, 0.1731, 0.5000)
N (0.2292, 0.2292, 0.0220)
N (0.7708, 0.7708, 0.9780)

***

[14]
The following is a DFT calculation (PBE-GGA) of an optimized crystal structure of K2LiCl.

VASP energy ... -2.275 eV/atom
Formation energy without anion corrections ... -3.1 eV/f.u.
Energy relative to the lowest polymorph listed for this composition ... 0.032 eV/atom

Cell lengths 3.9931, 4.1133, 10.0943 Å; angles 90.00, 90.19, 90.00 degrees
Fractional coordinates of all 4 atoms:
K (0.0000, 0.0000, 0.0000)
K (0.0049, 0.5000, 0.3832)
Li (0.4960, 0.5000, 0.7286)
Cl (0.5037, 0.0000, 0.2472)

***

[15]
The following is a DFT calculation (PBE-GGA) of an optimized crystal structure of Y3CdO.

VASP energy ... -6.010 eV/atom
Formation energy without anion corrections ... -4.8 eV/f.u.
Energy relative to the lowest polymorph listed for this composition ... 0.380 eV/atom

Cell lengths 8.4569, 8.4569, 8.4569 Å; angles 48.06, 48.06, 48.06 degrees
Fractional coordinates of all 10 atoms:
Y (0.0590, 0.7500, 0.4410)
Y (0.2500, 0.5590, 0.9410)
Y (0.4410, 0.0590, 0.7500)
Y (0.5590, 0.9410, 0.2500)
Y (0.7500, 0.4410, 0.0590)
Y (0.9410, 0.2500, 0.5590)
Cd (0.0000, 0.0000, 0.0000)
Cd (0.5000, 0.5000, 0.5000)
O (0.2500, 0.2500, 0.2500)
O (0.7500, 0.7500, 0.7500)

***

[16]
The following is a DFT calculation (PBE-GGA) of an optimized crystal structure of La2Ho4Th3.

Formation energy ... 0.077 eV/atom
VASP energy ... -5.526 eV/atom

Cell lengths 3.5707, 3.5707, 26.8336 Å; angles 90.00, 90.00, 120.00 degrees
Fractional coordinates of all 9 atoms:
La (0.0000, 0.0000, 0.0000)
La (0.0000, 0.0000, 0.2233)
Ho (0.0000, 0.0000, 0.3512)
Ho (0.0000, 0.0000, 0.5662)
Ho (0.3333, 0.6667, 0.6713)
Ho (0.3333, 0.6667, 0.8864)
Th (0.0000, 0.0000, 0.7796)
Th (0.3333, 0.6667, 0.1121)
Th (0.3333, 0.6667, 0.4563)

***

[17]
The following is a DFT calculation (PBE-GGA) of an optimized crystal structure of BeNi4Ru.

Formation energy ... 0.204 eV/atom
VASP energy ... -5.817 eV/atom

Cell lengths 4.6226, 4.6226, 4.6226 Å; angles 60.00, 60.00, 60.00 degrees
Fractional coordinates of all 6 atoms:
Be (0.0000, 0.0000, 0.0000)
Ni (0.1238, 0.6254, 0.6254)
Ni (0.6254, 0.1238, 0.6254)
Ni (0.6254, 0.6254, 0.1238)
Ni (0.6254, 0.6254, 0.6254)
Ru (0.2500, 0.2500, 0.2500)

***

[18]
The following is a DFT calculation (PBE-GGA) of an optimized crystal structure of Al2Sb4Pd.

VASP energy ... -3.882 eV/atom
Formation energy without anion corrections ... 2.0 eV/f.u.

Cell lengths 8.6510, 8.6510, 8.6510 Å; angles 145.80, 145.80, 49.14 degrees
Fractional coordinates of all 7 atoms:
Al (0.0948, 0.0948, 0.0000)
Al (0.9052, 0.9052, 0.0000)
Sb (0.0000, 0.5000, 0.5000)
Sb (0.2645, 0.2645, 0.0000)
Sb (0.5000, 0.0000, 0.5000)
Sb (0.7355, 0.7355, 0.0000)
Pd (0.5000, 0.5000, 0.0000)